No. 1
The following is a GGA-PBE calculation of a relaxed La12Nd7Mg crystal, from Alexandria via LeMat-Bulk.

a b c (Å): 11.6508 11.6508 11.6508
angles (deg): 116.74 116.74 116.74
Atoms (fractional coordinates):
La1 0.0000 0.4075 0.5925
La2 0.0000 0.5925 0.4075
La3 0.0708 0.0708 0.4257
La4 0.0708 0.4257 0.0708
La5 0.4075 0.0000 0.5925
La6 0.4075 0.5925 0.0000
La7 0.4257 0.0708 0.0708
La8 0.5743 0.9292 0.9292
La9 0.5925 0.0000 0.4075
La10 0.5925 0.4075 0.0000
La11 0.9292 0.5743 0.9292
La12 0.9292 0.9292 0.5743
Nd1 0.0000 0.0000 0.0000
Nd2 0.1407 0.3882 0.3882
Nd3 0.3882 0.1407 0.3882
Nd4 0.3882 0.3882 0.1407
Nd5 0.6118 0.6118 0.8593
Nd6 0.6118 0.8593 0.6118
Nd7 0.8593 0.6118 0.6118
Mg1 0.5000 0.5000 0.5000

Properties
- magnetization (μB per formula unit) = 0.00
- formation energy from the elements (eV/atom) = 0.14


No. 2
The following is a GGA-PBE calculation of a relaxed LaNd14Mg crystal, from Alexandria via LeMat-Bulk.

a b c (Å): 7.2977 7.2977 10.3740
angles (deg): 90.00 90.00 90.00
Atoms (fractional coordinates):
La1 0.0000 0.0000 0.0000
Nd1 0.0000 0.0000 0.5000
Nd2 0.0000 0.5000 0.0000
Nd3 0.0000 0.5000 0.5000
Nd4 0.2519 0.2519 0.2478
Nd5 0.2519 0.2519 0.7522
Nd6 0.2519 0.7481 0.2478
Nd7 0.2519 0.7481 0.7522
Nd8 0.5000 0.0000 0.0000
Nd9 0.5000 0.0000 0.5000
Nd10 0.5000 0.5000 0.5000
Nd11 0.7481 0.2519 0.2478
Nd12 0.7481 0.2519 0.7522
Nd13 0.7481 0.7481 0.2478
Nd14 0.7481 0.7481 0.7522
Mg1 0.5000 0.5000 0.0000

Properties
- magnetization (μB per formula unit) = 0.00
- formation energy from the elements (eV/atom) = 0.00


No. 3
The following is a GGA-PBE calculation of a relaxed La2Nd5Mg crystal, from Alexandria via LeMat-Bulk.

a b c (Å): 9.6954 9.6954 9.6607
angles (deg): 96.39 96.39 139.96
Atoms (fractional coordinates):
La1 0.0000 0.0000 0.0000
La2 0.0000 0.0000 0.5000
La3 0.0000 0.5000 0.0000
La4 0.5000 0.0000 0.5000
Nd1 0.0606 0.4236 0.6124
Nd2 0.2858 0.3981 0.8628
Nd3 0.3856 0.6144 0.2500
Nd4 0.3981 0.2858 0.3628
Nd5 0.4236 0.0606 0.1124
Nd6 0.5764 0.9394 0.8876
Nd7 0.6019 0.7142 0.6372
Nd8 0.6144 0.3856 0.7500
Nd9 0.7142 0.6019 0.1372
Nd10 0.9394 0.5764 0.3876
Mg1 0.1469 0.8531 0.7500
Mg2 0.8531 0.1469 0.2500

Properties
- magnetization (μB per formula unit) = 0.00
- formation energy from the elements (eV/atom) = 0.16


No. 4
The following is a GGA-PBE calculation of a relaxed La12Nd6Mg crystal, from Alexandria via LeMat-Bulk.

a b c (Å): 8.9832 8.9832 8.9832
angles (deg): 98.75 98.75 98.75
Atoms (fractional coordinates):
La1 0.0000 0.2615 0.7385
La2 0.0000 0.7385 0.2615
La3 0.1679 0.5819 0.5819
La4 0.2615 0.0000 0.7385
La5 0.2615 0.7385 0.0000
La6 0.4181 0.4181 0.8321
La7 0.4181 0.8321 0.4181
La8 0.5819 0.1679 0.5819
La9 0.5819 0.5819 0.1679
La10 0.7385 0.0000 0.2615
La11 0.7385 0.2615 0.0000
La12 0.8321 0.4181 0.4181
Nd1 0.1384 0.1384 0.4074
Nd2 0.1384 0.4074 0.1384
Nd3 0.4074 0.1384 0.1384
Nd4 0.5926 0.8616 0.8616
Nd5 0.8616 0.5926 0.8616
Nd6 0.8616 0.8616 0.5926
Mg1 0.0000 0.0000 0.0000

Properties
- magnetization (μB per formula unit) = 0.00
- formation energy from the elements (eV/atom) = 0.11


No. 5
The following is a GGA-PBE calculation of a relaxed La6NdMg crystal, from Alexandria via LeMat-Bulk.

a b c (Å): 7.1172 7.1238 8.0243
angles (deg): 64.04 64.44 60.06
Atoms (fractional coordinates):
La1 0.0416 0.2720 0.2389
La2 0.2251 0.0526 0.7593
La3 0.4426 0.5435 0.2402
La4 0.5574 0.4565 0.7598
La5 0.7749 0.9474 0.2407
La6 0.9584 0.7280 0.7611
Nd1 0.0000 0.5000 0.5000
Mg1 0.5000 0.0000 0.0000

Properties
- magnetization (μB per formula unit) = 0.00
- formation energy from the elements (eV/atom) = 0.43


No. 6
The following is a GGA-PBE calculation of a relaxed La5Nd8Mg crystal, from Alexandria via LeMat-Bulk.

a b c (Å): 8.6681 8.6681 8.6681
angles (deg): 109.97 109.97 108.48
Atoms (fractional coordinates):
La1 0.0000 0.0000 0.0000
La2 0.3181 0.2061 0.6879
La3 0.3698 0.6819 0.8880
La4 0.5182 0.6302 0.3121
La5 0.7939 0.4818 0.1120
Nd1 0.0189 0.7528 0.5996
Nd2 0.0570 0.3275 0.8930
Nd3 0.1532 0.4193 0.4004
Nd4 0.2472 0.8468 0.2661
Nd5 0.4345 0.1640 0.1070
Nd6 0.5807 0.9811 0.7339
Nd7 0.6725 0.5655 0.7295
Nd8 0.8360 0.9430 0.2705
Mg1 0.7500 0.2500 0.5000

Properties
- magnetization (μB per formula unit) = 0.00
- formation energy from the elements (eV/atom) = 0.20


No. 7
The following is a GGA-PBE calculation of a relaxed La2Nd9Mg crystal, from Alexandria via LeMat-Bulk.

a b c (Å): 5.1657 5.1657 15.5586
angles (deg): 90.00 90.00 90.00
Atoms (fractional coordinates):
La1 0.0000 0.0000 0.1706
La2 0.0000 0.0000 0.8294
Nd1 0.0000 0.5000 0.0000
Nd2 0.0000 0.5000 0.3384
Nd3 0.0000 0.5000 0.6616
Nd4 0.5000 0.0000 0.0000
Nd5 0.5000 0.0000 0.3384
Nd6 0.5000 0.0000 0.6616
Nd7 0.5000 0.5000 0.1713
Nd8 0.5000 0.5000 0.5000
Nd9 0.5000 0.5000 0.8287
Mg1 0.0000 0.0000 0.5000

Properties
- magnetization (μB per formula unit) = 0.00
- formation energy from the elements (eV/atom) = 0.02


No. 8
The following is a GGA-PBE calculation of a relaxed La3Nd2Mg3 crystal, from Alexandria via LeMat-Bulk.

a b c (Å): 12.0951 12.0951 12.0951
angles (deg): 161.31 152.81 33.19
Atoms (fractional coordinates):
La1 0.0000 0.0000 0.0000
La2 0.3766 0.8766 0.5000
La3 0.6234 0.1234 0.5000
Nd1 0.2355 0.2355 0.0000
Nd2 0.7645 0.7645 0.0000
Mg1 0.1189 0.6189 0.5000
Mg2 0.5000 0.5000 0.0000
Mg3 0.8811 0.3811 0.5000

Properties
- magnetization (μB per formula unit) = 0.00
- formation energy from the elements (eV/atom) = -0.08


No. 9
The following is a GGA-PBE calculation of a relaxed La9Nd4Mg11 crystal, from Alexandria via LeMat-Bulk.

a b c (Å): 14.5022 14.5022 3.8130
angles (deg): 90.00 90.00 111.32
Atoms (fractional coordinates):
La1 0.0000 0.0000 0.0000
La2 0.1230 0.6444 0.0000
La3 0.2925 0.4642 0.0000
La4 0.3556 0.8770 0.0000
La5 0.4642 0.2925 0.0000
La6 0.5358 0.7075 0.0000
La7 0.6444 0.1230 0.0000
La8 0.7075 0.5358 0.0000
La9 0.8770 0.3556 0.0000
Nd1 0.0611 0.2438 0.0000
Nd2 0.2438 0.0611 0.0000
Nd3 0.7562 0.9389 0.0000
Nd4 0.9389 0.7562 0.0000
Mg1 0.0880 0.4404 0.5000
Mg2 0.1411 0.8589 0.5000
Mg3 0.2534 0.2534 0.5000
Mg4 0.3300 0.6700 0.5000
Mg5 0.4404 0.0880 0.5000
Mg6 0.5000 0.5000 0.5000
Mg7 0.5596 0.9120 0.5000
Mg8 0.6700 0.3300 0.5000
Mg9 0.7466 0.7466 0.5000
Mg10 0.8589 0.1411 0.5000
Mg11 0.9120 0.5596 0.5000

Properties
- magnetization (μB per formula unit) = 0.00
- formation energy from the elements (eV/atom) = -0.07


No. 10
The following is a GGA-PBE calculation of a relaxed La6Nd3Mg2 crystal, from Alexandria via LeMat-Bulk.

a b c (Å): 6.3688 6.3688 11.6697
angles (deg): 95.51 95.51 120.26
Atoms (fractional coordinates):
La1 0.0759 0.4036 0.2348
La2 0.2510 0.2510 0.7603
La3 0.4036 0.0759 0.2348
La4 0.5964 0.9241 0.7652
La5 0.7490 0.7490 0.2397
La6 0.9241 0.5964 0.7652
Nd1 0.1667 0.8333 0.5000
Nd2 0.5000 0.5000 0.5000
Nd3 0.8333 0.1667 0.5000
Mg1 0.3380 0.6620 0.0000
Mg2 0.6620 0.3380 0.0000

Properties
- magnetization (μB per formula unit) = 0.00
- formation energy from the elements (eV/atom) = 0.10


No. 11
The following is a GGA-PBE calculation of a relaxed La4Nd5Mg2 crystal, from Alexandria via LeMat-Bulk.

a b c (Å): 11.7761 11.7761 8.9970
angles (deg): 92.87 92.87 17.61
Atoms (fractional coordinates):
La1 0.0708 0.0708 0.2097
La2 0.2859 0.2859 0.6754
La3 0.7141 0.7141 0.3246
La4 0.9292 0.9292 0.7903
Nd1 0.1281 0.1281 0.6042
Nd2 0.1833 0.1833 0.9679
Nd3 0.5000 0.5000 0.5000
Nd4 0.8167 0.8167 0.0321
Nd5 0.8719 0.8719 0.3958
Mg1 0.4437 0.4437 0.1289
Mg2 0.5563 0.5563 0.8711

Properties
- magnetization (μB per formula unit) = 0.00
- formation energy from the elements (eV/atom) = 0.05


No. 12
The following is a GGA-PBE calculation of a relaxed La5Nd4Mg2 crystal, from Alexandria via LeMat-Bulk.

a b c (Å): 11.7043 11.7043 9.0286
angles (deg): 92.59 92.59 17.76
Atoms (fractional coordinates):
La1 0.0000 0.0000 0.0000
La2 0.3167 0.3167 0.5339
La3 0.3696 0.3696 0.8984
La4 0.6304 0.6304 0.1016
La5 0.6833 0.6833 0.4661
Nd1 0.2110 0.2110 0.8203
Nd2 0.4280 0.4280 0.2878
Nd3 0.5720 0.5720 0.7122
Nd4 0.7890 0.7890 0.1797
Mg1 0.0534 0.0534 0.3778
Mg2 0.9466 0.9466 0.6222

Properties
- magnetization (μB per formula unit) = 0.00
- formation energy from the elements (eV/atom) = 0.04


No. 13
The following is a GGA-PBE calculation of a relaxed La4Nd8Mg crystal, from Alexandria via LeMat-Bulk.

a b c (Å): 7.8660 7.8660 7.8660
angles (deg): 97.25 97.25 97.25
Atoms (fractional coordinates):
La1 0.0000 0.0000 0.0000
La2 0.0000 0.5000 0.5000
La3 0.5000 0.0000 0.5000
La4 0.5000 0.5000 0.0000
Nd1 0.1609 0.1609 0.6663
Nd2 0.1609 0.6663 0.1609
Nd3 0.2398 0.2398 0.2398
Nd4 0.3337 0.8391 0.8391
Nd5 0.6663 0.1609 0.1609
Nd6 0.7602 0.7602 0.7602
Nd7 0.8391 0.3337 0.8391
Nd8 0.8391 0.8391 0.3337
Mg1 0.5000 0.5000 0.5000

Properties
- magnetization (μB per formula unit) = 0.00
- formation energy from the elements (eV/atom) = 0.35


No. 14
The following is a GGA-PBE calculation of a relaxed La3NdMg crystal, from Alexandria via LeMat-Bulk.

a b c (Å): 3.8712 9.6675 10.0356
angles (deg): 90.00 101.09 90.00
Atoms (fractional coordinates):
La1 0.0958 0.0032 0.1917
La2 0.0958 0.4968 0.1917
La3 0.3020 0.2500 0.6068
La4 0.6980 0.7500 0.3932
La5 0.9042 0.5032 0.8083
La6 0.9042 0.9968 0.8083
Nd1 0.4935 0.2500 0.9846
Nd2 0.5065 0.7500 0.0154
Mg1 0.3342 0.7500 0.6668
Mg2 0.6658 0.2500 0.3332

Properties
- magnetization (μB per formula unit) = 0.00
- formation energy from the elements (eV/atom) = 0.16


No. 15
The following is a GGA-PBE calculation of a relaxed La2Nd8Mg crystal, from Alexandria via LeMat-Bulk.

a b c (Å): 9.9441 9.9441 9.9441
angles (deg): 146.49 133.69 58.36
Atoms (fractional coordinates):
La1 0.1952 0.1952 0.0000
La2 0.8048 0.8048 0.0000
Nd1 0.0866 0.3664 0.7201
Nd2 0.2370 0.0000 0.2370
Nd3 0.3281 0.8281 0.5000
Nd4 0.3537 0.6336 0.7201
Nd5 0.6463 0.3664 0.2799
Nd6 0.6719 0.1719 0.5000
Nd7 0.7630 0.0000 0.7630
Nd8 0.9134 0.6336 0.2799
Mg1 0.5000 0.5000 0.0000

Properties
- magnetization (μB per formula unit) = 0.00
- formation energy from the elements (eV/atom) = 0.10


No. 16
The following is a GGA-PBE calculation of a relaxed La3Nd7Mg crystal, from Alexandria via LeMat-Bulk.

a b c (Å): 7.2151 7.2151 8.8935
angles (deg): 90.00 90.00 120.00
Atoms (fractional coordinates):
La1 0.1674 0.3349 0.0000
La2 0.1674 0.8326 0.0000
La3 0.6651 0.8326 0.0000
Nd1 0.0038 0.5019 0.6633
Nd2 0.3328 0.1664 0.3398
Nd3 0.3333 0.6667 0.3322
Nd4 0.4981 0.5019 0.6633
Nd5 0.4981 0.9962 0.6633
Nd6 0.8336 0.1664 0.3398
Nd7 0.8336 0.6672 0.3398
Mg1 0.0000 0.0000 0.6607

Properties
- magnetization (μB per formula unit) = 0.00
- formation energy from the elements (eV/atom) = 0.16


No. 17
The following is a GGA-PBE calculation of a relaxed LaNd6Mg2 crystal, from Alexandria via LeMat-Bulk.

a b c (Å): 6.8251 6.8251 12.3576
angles (deg): 107.31 107.31 33.12
Atoms (fractional coordinates):
La1 0.0000 0.0000 0.0000
Nd1 0.0184 0.0184 0.3399
Nd2 0.3142 0.3142 0.4158
Nd3 0.3191 0.3191 0.1233
Nd4 0.6809 0.6809 0.8767
Nd5 0.6858 0.6858 0.5842
Nd6 0.9816 0.9816 0.6600
Mg1 0.3468 0.3468 0.7879
Mg2 0.6532 0.6532 0.2121

Properties
- magnetization (μB per formula unit) = 0.00
- formation energy from the elements (eV/atom) = -0.03


No. 18
The following is a GGA-PBE calculation of a relaxed La5NdMg crystal, from Alexandria via LeMat-Bulk.

a b c (Å): 8.3368 8.3368 8.7798
angles (deg): 114.30 114.30 77.19
Atoms (fractional coordinates):
La1 0.0682 0.9318 0.7500
La2 0.1818 0.7011 0.0357
La3 0.2293 0.2656 0.7683
La4 0.2656 0.2293 0.2683
La5 0.2989 0.8182 0.4643
La6 0.7011 0.1818 0.5357
La7 0.7344 0.7707 0.7317
La8 0.7707 0.7344 0.2317
La9 0.8182 0.2989 0.9643
La10 0.9318 0.0682 0.2500
Nd1 0.4406 0.5594 0.7500
Nd2 0.5594 0.4406 0.2500
Mg1 0.0000 0.5000 0.5000
Mg2 0.5000 0.0000 0.0000

Properties
- magnetization (μB per formula unit) = 0.00
- formation energy from the elements (eV/atom) = 0.15


No. 19
The following is a GGA-PBE calculation of a relaxed La2Nd4Mg crystal, from Alexandria via LeMat-Bulk.

a b c (Å): 4.8049 4.8049 11.4930
angles (deg): 90.00 90.00 90.00
Atoms (fractional coordinates):
La1 0.0000 0.5000 0.0000
La2 0.5000 0.0000 0.0000
Nd1 0.2401 0.2401 0.7329
Nd2 0.2401 0.7599 0.2671
Nd3 0.7599 0.2401 0.2671
Nd4 0.7599 0.7599 0.7329
Mg1 0.5000 0.5000 0.5000

Properties
- magnetization (μB per formula unit) = 0.00
- formation energy from the elements (eV/atom) = 0.49


No. 20
The following is a GGA-PBE calculation of a relaxed La9NdMg2 crystal, from Alexandria via LeMat-Bulk.

a b c (Å): 5.1751 5.1751 15.4733
angles (deg): 90.00 90.00 90.00
Atoms (fractional coordinates):
La1 0.0000 0.0000 0.0000
La2 0.0000 0.0000 0.3351
La3 0.0000 0.0000 0.6649
La4 0.0000 0.5000 0.1700
La5 0.0000 0.5000 0.5000
La6 0.0000 0.5000 0.8300
La7 0.5000 0.0000 0.1700
La8 0.5000 0.0000 0.5000
La9 0.5000 0.0000 0.8300
Nd1 0.5000 0.5000 0.0000
Mg1 0.5000 0.5000 0.3365
Mg2 0.5000 0.5000 0.6635

Properties
- magnetization (μB per formula unit) = 0.00
- formation energy from the elements (eV/atom) = -0.01